(a)
DFT (PBE-GGA) results for a geometry-optimized LiIn3Au structure.

Cell lengths 8.1915, 5.8976, 9.5250 Å; angles 90.00, 107.35, 90.00 degrees
Closest atoms and distances in Å follow each position.
Space group P2_1/c (No. 14)
Unique sites:
Li 0.1376 0.2391 0.1597  3 Au 2.83-3.04, 6 In 2.95-3.10
In 0.1037 0.7370 0.1462  3 Au 2.86-2.97, 4 Li 2.95-3.08, 1 In 3.16
In 0.3017 0.0069 0.4507  2 Au 2.99-3.10, 2 Li 3.02-3.10, 3 In 3.10-3.28
In 0.4952 0.5073 0.6853  2 Au 2.90-2.93, 2 In 3.19, 1 Li 3.21
Au 0.2050 0.0033 0.9216  3 Li 2.83-3.04, 7 In 2.86-3.10

Summary:
As for the size of the total moment: 0.000 μB/atom. As for the crystal system: monoclinic. The calculated volume is 439 Å³ per cell.

***

(b)
DFT (PBE-GGA) results for a geometry-optimized LiIn3Au structure.

Cell lengths 5.4029, 5.4029, 5.4029 Å; angles 90.00, 90.00, 90.00 degrees
Closest atoms and distances in Å follow each position.
Space group Pm-3m (No. 221)
Unique sites:
Li 0.0000 0.0000 0.0000  12 In 3.82
In 0.0000 0.5000 0.5000  2 Au 2.70
Au 0.5000 0.5000 0.5000  6 In 2.70

Summary:
As for the size of the total moment: 0.000 μB/atom. As for the crystal system: cubic. The calculated volume is 158 Å³ per cell.

***

Energies relative to the most stable structure are (a) 0; (b) 371, reported in meV per atom.

***

(a)
DFT (PBE-GGA) results for a geometry-optimized LiInAu6 structure.

Cell lengths 4.2768, 4.2768, 7.8773 Å; angles 90.00, 90.00, 90.00 degrees
Closest atoms and distances in Å follow each position.
Space group P4/mmm (No. 123)
Unique sites:
Li 0.0000 0.0000 0.0000  12 Au 2.85-3.02
In 0.0000 0.0000 0.5000  12 Au 2.96-3.02
Au 0.0000 0.5000 0.2399  2 Li 2.85, 8 Au 2.85-3.02, 2 In 2.96
Au 0.5000 0.5000 0.0000  8 Au 2.85, 4 Li 3.02
Au 0.5000 0.5000 0.5000  8 Au 2.96, 4 In 3.02

Summary:
As for the size of the total moment: 0.000 μB/atom. As for the crystal system: tetragonal. The calculated volume is 144 Å³ per cell.

***

(b)
DFT (PBE-GGA) results for a geometry-optimized LiInAu6 structure.

Cell lengths 5.8522, 5.8522, 4.8499 Å; angles 90.00, 90.00, 120.00 degrees
Closest atoms and distances in Å follow each position.
Space group P-6m2 (No. 187)
Unique sites:
Li 0.0000 0.0000 0.0000  12 Au 2.93-2.94
In 0.6667 0.3333 0.5000  12 Au 2.93-2.96
Au 0.0014 0.5007 0.0000  8 Au 2.91-2.96, 2 Li 2.93, 2 In 2.96
Au 0.1645 0.3290 0.5000  8 Au 2.89-2.96, 2 In 2.93, 2 Li 2.94

Summary:
As for the size of the total moment: 0.000 μB/atom. As for the crystal system: hexagonal. The calculated volume is 144 Å³ per cell.

***

Energies relative to the most stable structure are (a) 27; (b) 0, reported in meV per atom.

***

(a)
DFT (PBE-GGA) results for a geometry-optimized Li2In2Au3 structure.

Cell lengths 4.7137, 4.7168, 7.2767 Å; angles 90.23, 108.68, 119.62 degrees
Closest atoms and distances in Å follow each position.
Space group P-1 (No. 2)
Unique sites:
Li 0.2282 0.3642 0.0916  2 Au 2.68-2.76, 3 In 2.90-2.91, 2 Li 2.99
In 0.3405 0.9214 0.7594  4 Au 2.76-3.07, 3 Li 2.90-2.91
Au 0.0367 0.7661 0.3048  1 Li 2.68, 3 In 2.76-2.77
Au 0.5000 0.5000 0.5000  2 Li 2.76, 6 Au 3.02-3.04

Summary:
As for the size of the total moment: 0.000 μB/atom. As for the crystal system: triclinic. The calculated volume is 131 Å³ per cell.

***

(b)
DFT (PBE-GGA) results for a geometry-optimized Li2In2Au3 structure.

Cell lengths 14.2293, 4.5840, 4.4907 Å; angles 90.00, 107.97, 90.00 degrees
Closest atoms and distances in Å follow each position.
Space group C2/m (No. 12)
Unique sites:
Li 0.1278 0.0000 0.1281  6 Au 2.79-2.85
In 0.1186 0.5000 0.6272  6 Au 2.80-2.94
Au 0.0000 0.0000 0.5000  4 In 2.80, 4 Li 2.82-2.85
Au 0.2453 0.5000 0.2497  4 Li 2.79-2.83, 4 In 2.82-2.94

Summary:
As for the size of the total moment: 0.000 μB/atom. As for the crystal system: monoclinic. The calculated volume is 279 Å³ per cell.

***

Energies relative to the most stable structure are (a) 40; (b) 0, reported in meV per atom.

***

(a)
DFT (PBE-GGA) results for a geometry-optimized Li4In3Au4 structure.

Cell lengths 3.2872, 3.6517, 16.8218 Å; angles 83.86, 85.02, 89.97 degrees
Closest atoms and distances in Å follow each position.
Space group P-1 (No. 2)
Unique sites:
Li 0.0909 0.0907 0.3223  4 Au 2.74-2.75, 5 In 2.96-2.98
Li 0.2761 0.2725 0.9558  5 Au 2.78-2.80, 4 Li 2.84-2.89, 1 In 2.95
In 0.0000 0.0000 0.5000  2 Li 2.96, 8 Au 2.98-3.05, 2 In 3.29
In 0.3630 0.3607 0.7789  5 Au 2.90-2.95, 5 Li 2.95-2.98
Au 0.1833 0.1880 0.1241  5 Li 2.78-2.80, 4 In 2.93-2.95
Au 0.4408 0.4435 0.6050  4 Li 2.74-2.75, 5 In 2.90-3.05

Summary:
As for the size of the total moment: 0.000 μB/atom. As for the crystal system: triclinic. The calculated volume is 200 Å³ per cell.

***

(b)
DFT (PBE-GGA) results for a geometry-optimized Li4In3Au4 structure.

Cell lengths 4.1178, 7.1019, 14.2946 Å; angles 90.00, 90.00, 90.00 degrees
Closest atoms and distances in Å follow each position.
Space group Immm (No. 71)
Unique sites:
Li 0.0000 0.1952 0.1711  4 Au 2.55-2.63, 1 Li 2.77
In 0.0000 0.0000 0.3764  6 Au 2.99-3.07, 6 Li 3.06-3.25
In 0.0000 0.5000 0.5000  6 Au 2.96-3.21
Au 0.0000 0.2992 0.0000  2 Li 2.55, 1 Au 2.85
Au 0.0000 0.5000 0.2757  6 Li 2.60-2.63

Summary:
As for the size of the total moment: 0.000 μB/atom. As for the crystal system: orthorhombic. The calculated volume is 418 Å³ per cell.

***

Energies relative to the most stable structure are (a) 0; (b) 43, reported in meV per atom.

***

(a)
DFT (PBE-GGA) results for a geometry-optimized Li2InAu6 structure.

Cell lengths 12.2807, 7.4621, 4.0332 Å; angles 90.00, 109.05, 90.00 degrees
Closest atoms and distances in Å follow each position.
Space group C2/m (No. 12)
Unique sites:
Li 0.1988 0.0000 0.1986  8 Au 2.60-2.75
In 0.0000 0.5000 0.5000  8 Au 2.87-3.01
Au 0.0000 0.2013 0.0000  2 Li 2.75, 5 Au 2.81-3.00, 2 In 3.01
Au 0.1684 0.2189 0.6683  3 Li 2.60-2.62, 4 Au 2.80-2.81, 1 In 2.87

Summary:
As for the size of the total moment: 0.000 μB/atom. As for the crystal system: monoclinic. The calculated volume is 349 Å³ per cell.

***

(b)
DFT (PBE-GGA) results for a geometry-optimized Li2InAu6 structure.

Cell lengths 8.6679, 8.6679, 4.2045 Å; angles 90.00, 90.00, 90.00 degrees
Closest atoms and distances in Å follow each position.
Space group P4_2/mnm (No. 136)
Unique sites:
Li 0.1852 0.1852 0.0000  10 Au 2.79-2.98, 2 In 3.09
In 0.0000 0.0000 0.5000  8 Au 2.85-2.86, 4 Li 3.09
Au 0.0067 0.3301 0.5000  3 Li 2.79-2.90, 1 In 2.86, 8 Au 2.92-2.96
Au 0.1571 0.8429 0.0000  2 In 2.85, 4 Li 2.86-2.98, 6 Au 2.92-2.95

Summary:
As for the size of the total moment: 0.000 μB/atom. As for the crystal system: tetragonal. The calculated volume is 316 Å³ per cell.

***

Energies relative to the most stable structure are (a) 105; (b) 0, reported in meV per atom.

***

(a)
DFT (PBE-GGA) results for a geometry-optimized LiIn3Au6 structure.

Cell lengths 9.6743, 10.5266, 8.1409 Å; angles 90.00, 90.00, 90.00 degrees
Closest atoms and distances in Å follow each position.
Space group Cmc2_1 (No. 36)
Unique sites:
Li 0.0000 0.2331 0.0000  6 Au 2.75-3.03
In 0.0000 0.4701 0.3000  5 Au 2.78-2.92
In 0.1674 0.1274 0.3569  6 Au 2.75-3.02
Au 0.0000 0.0121 0.6329  1 Li 2.80, 4 In 2.85-3.02, 5 Au 2.89-3.01
Au 0.0000 0.2856 0.6695  1 Li 2.75, 1 In 2.78, 5 Au 2.85-2.89
Au 0.2289 0.4105 0.5210  3 In 2.83-2.94, 5 Au 2.85-2.97, 1 Li 3.03
Au 0.2358 0.3407 0.1805  3 In 2.75-2.83, 5 Au 2.87-3.01, 1 Li 2.94

Summary:
As for the size of the total moment: 0.000 μB/atom. As for the crystal system: orthorhombic. The calculated volume is 829 Å³ per cell.

***

(b)
DFT (PBE-GGA) results for a geometry-optimized LiIn3Au6 structure.

Cell lengths 16.3875, 16.3875, 3.1508 Å; angles 90.00, 90.00, 120.00 degrees
Closest atoms and distances in Å follow each position.
Space group R3m (No. 160, hexagonal axes)
Unique sites:
Li 0.0000 0.0000 0.0000  9 Au 2.65-2.72
In 0.0165 0.5083 0.7100  4 Au 2.69-2.93
Au 0.0764 0.1528 0.4808  2 Li 2.65-2.72, 2 In 2.71-2.93, 2 Au 2.84
Au 0.1884 0.0942 0.9289  1 Li 2.68, 2 In 2.69-2.88, 2 Au 2.84

Summary:
As for the size of the total moment: 0.000 μB/atom. As for the crystal system: trigonal. The calculated volume is 733 Å³ per cell.

***

Energies relative to the most stable structure are (a) 0; (b) 132, reported in meV per atom.